1.
An optimized crystal structure of Fe3Co5. Source: the Alexandria database, functional PBEsol.

The space group is Immm (No. 71) and the conventional cell measures 2.775, 3.920 and 15.832 Å, with angles of 90.00, 90.00 and 90.00 degrees. The inequivalent atoms are Fe at (0.000, 0.000, 0.000), Fe at (0.000, 0.500, 0.375), Co at (0.000, 0.000, 0.246), Co at (0.000, 0.000, 0.500) and Co at (0.000, 0.500, 0.127).

The formation enthalpy at 0 K comes out at 4 kJ/mol of atoms. As for the total energy: -8.15 eV per atom.


2.
An optimized crystal structure of Y3Tc. Source: the Alexandria database, functional PBEsol.

The space group is P-6m2 (No. 187) and the conventional cell measures 3.5006, 3.5006 and 9.7898 Å, with angles of 90.00, 90.00 and 120.00 degrees. The inequivalent atoms are Y at (0.0000, 0.0000, 0.0000), Y at (0.6667, 0.3333, 0.3009) and Tc at (0.0000, 0.0000, 0.5000).

The formation enthalpy at 0 K comes out at 24 kJ/mol of atoms. As for the total energy: -7.69 eV per atom.


3.
An optimized crystal structure of BN. Source: the Alexandria database, functional PBEsol.

The space group is P-6m2 (No. 187) and the conventional cell measures 2.5054, 2.5054 and 6.8829 Å, with angles of 90.00, 90.00 and 120.00 degrees. The inequivalent atoms are B at (0.0000, 0.0000, 0.0000), B at (0.3333, 0.6667, 0.5000), N at (0.0000, 0.0000, 0.5000) and N at (0.6667, 0.3333, 0.0000).

As for the total energy: -9.14 eV per atom.


4.
An optimized crystal structure of TaAs. Source: the Alexandria database, functional PBEsol.

The space group is P-6m2 (No. 187) and the conventional cell measures 3.3727, 3.3727 and 3.4577 Å, with angles of 90.00, 90.00 and 120.00 degrees. The inequivalent atoms are Ta at (0.0000, 0.0000, 0.0000) and As at (0.6667, 0.3333, 0.5000).

The formation enthalpy at 0 K comes out at -58 kJ/mol of atoms. As for the total energy: -9.43 eV per atom.


5.
An optimized crystal structure of Li2MgGeO4. Source: the Alexandria database, functional PBEsol.

The space group is Pmn2_1 (No. 31) and the conventional cell measures 6.302, 5.496 and 4.993 Å, with angles of 90.00, 90.00 and 90.00 degrees. The inequivalent atoms are Li at (0.249, 0.166, 0.000), Mg at (0.000, 0.333, 0.502), Ge at (0.000, 0.674, 0.994), O at (0.000, 0.367, 0.105), O at (0.000, 0.670, 0.639) and O at (0.231, 0.825, 0.106).

As for the total energy: -6.15 eV per atom.


6.
An optimized crystal structure of DyUN2. Source: the Alexandria database, functional PBEsol.

The space group is R-3m (No. 166, hexagonal axes) and the conventional cell measures 3.3951, 3.3951 and 16.8007 Å, with angles of 90.00, 90.00 and 120.00 degrees. The inequivalent atoms are Dy at (0.0000, 0.0000, 0.0000), U at (0.0000, 0.0000, 0.5000) and N at (0.0000, 0.0000, 0.2453).

As for the total energy: -10.19 eV per atom.


7.
An optimized crystal structure of TiPO4F. Source: the Alexandria database, functional PBEsol.

The space group is C2/c (No. 15) and the conventional cell measures 7.334, 7.184 and 7.340 Å, with angles of 90.00, 118.74 and 90.00 degrees. The inequivalent atoms are Ti at (0.250, 0.250, 0.000), P at (0.000, 0.126, 0.250), O at (0.102, 0.251, 0.155), O at (0.166, 0.000, 0.419) and F at (0.000, 0.330, 0.750).

As for the total energy: -8.02 eV per atom.


8.
An optimized crystal structure of ZnCoSi4O10. Source: the Alexandria database, functional PBEsol.

The space group is P4/ncc (No. 130, origin choice 2) and the conventional cell measures 7.193, 7.193 and 14.775 Å, with angles of 90.00, 90.00 and 90.00 degrees. The inequivalent atoms are Zn at (0.250, 0.750, 0.000), Co at (0.250, 0.250, 0.066), Si at (0.013, 0.588, 0.144), O at (0.002, 0.690, 0.624), O at (0.014, 0.670, 0.426) and O at (0.060, 0.560, 0.250).

As for the total energy: -7.56 eV per atom.


9.
An optimized crystal structure of TeWS. Source: the Alexandria database, functional PBEsol.

The space group is P-6m2 (No. 187) and the conventional cell measures 3.3060, 3.3060 and 13.2262 Å, with angles of 90.00, 90.00 and 120.00 degrees. The inequivalent atoms are Te at (0.0000, 0.0000, 0.1435), W at (0.0000, 0.0000, 0.5000), W at (0.6667, 0.3333, 0.0000) and S at (0.6667, 0.3333, 0.3855).

As for the total energy: -7.65 eV per atom.


10.
An optimized crystal structure of Nb2HgAs. Source: the Alexandria database, functional PBEsol.

The space group is Fm-3m (No. 225) and the conventional cell measures 6.533, 6.533 and 6.533 Å, with angles of 90.00, 90.00 and 90.00 degrees. The inequivalent atoms are Nb at (0.250, 0.250, 0.250), Hg at (0.000, 0.000, 0.000) and As at (0.000, 0.000, 0.500).

The formation enthalpy at 0 K comes out at 5 kJ/mol of atoms. As for the total energy: -6.78 eV per atom.


11.
An optimized crystal structure of TcMo2PRh. Source: the Alexandria database, functional PBEsol.

The space group is P4/mmm (No. 123) and the conventional cell measures 4.352, 4.352 and 4.246 Å, with angles of 90.00, 90.00 and 90.00 degrees. The inequivalent atoms are Tc at (0.000, 0.000, 0.000), Mo at (0.000, 0.500, 0.500), P at (0.000, 0.000, 0.500) and Rh at (0.500, 0.500, 0.000).

The formation enthalpy at 0 K comes out at 66 kJ/mol of atoms. As for the total energy: -9.06 eV per atom.


12.
An optimized crystal structure of Re2TcTe. Source: the Alexandria database, functional PBEsol.

The space group is P2/m (No. 10) and the conventional cell measures 2.917, 4.063 and 5.491 Å, with angles of 90.00, 97.61 and 90.00 degrees. The inequivalent atoms are Re at (0.052, 0.000, 0.225), Tc at (0.500, 0.500, 0.000) and Te at (0.500, 0.500, 0.500).

As for the total energy: -9.73 eV per atom.